Record 1
TlOsBr2: optimized geometry, PBE.

Unit cell a=5.450 b=5.450 c=3.395 alpha=90.00 beta=90.00 gamma=90.00
Site moments in Bohr magnetons follow the coordinates.
Fractional coordinates of all 4 atoms:
Os  0.500  0.000  0.500  2.64
Br  0.500  0.500  0.000  0.10
Br  0.000  0.000  0.000  0.10
Tl  0.000  0.500  0.500  0.00

Results
The calculation puts the uncorrected formation energy at 1.00 eV per atom. The space-group type is P4/mmm (123). As for the energy above the lowest structure with this stoichiometry: 2.881 eV/f.u.

***

Record 2
Th3Tl2Zn: optimized geometry, PBE.

Unit cell a=3.507 b=3.507 c=13.506 alpha=90.00 beta=90.00 gamma=90.00
Fractional coordinates of all 6 atoms:
Th  0.000  0.000  0.649
Th  0.000  0.000  0.351
Tl  0.500  0.500  0.826
Tl  0.500  0.500  0.174
Th  0.000  0.000  0.000
Zn  0.500  0.500  0.500

Results
As for the formation energy: -0.137 eV/atom. The space-group type is P4/mmm (123).

***

Number 1: total magnetization 0.798 μB per atom, calculated total energy -3.237 eV per atom. Number 2: total magnetization 0.000 μB per atom, calculated total energy -4.848 eV per atom.